No. 1
# Ta3Ru8 PBE relaxed
# ρ: 12872 kg/m3
# E: -9.912 eV/atom
# volume: 15.85 Å³ per atom
# DFT formation energy: 1.5 kcal/mol of atoms
data_Ta3Ru8
_cell_length_a 11.718
_cell_length_b 8.262
_cell_length_c 3.774
_cell_angle_alpha 90.00
_cell_angle_beta 107.40
_cell_angle_gamma 90.00
_symmetry_space_group_name_H-M 'C 1 2/m 1'
_symmetry_Int_Tables_number 12
loop_
_symmetry_equiv_pos_as_xyz
'x,y,z'
'-x,-y,-z'
'-x,y,-z'
'x,-y,z'
'x+1/2,y+1/2,z'
'-x+1/2,-y+1/2,-z'
'-x+1/2,y+1/2,-z'
'x+1/2,-y+1/2,z'
loop_
_atom_site_label
_atom_site_type_symbol
_atom_site_fract_x
_atom_site_fract_y
_atom_site_fract_z
Ta1 Ta 0.000 0.000 0.000
Ta2 Ta 0.250 0.250 0.000
Ru1 Ru 0.082 0.273 0.333
Ru2 Ru 0.090 0.500 0.843
Ru3 Ru 0.230 0.000 0.485

---

No. 2
# Cr2IrRh PBE relaxed
# ρ: 12676 kg/m3
# E: -8.980 eV/atom
# volume: 13.07 Å³ per atom
# DFT formation energy: -2.6 kcal/mol of atoms
data_Cr2IrRh
_cell_length_a 3.767
_cell_length_b 3.767
_cell_length_c 3.684
_cell_angle_alpha 90.00
_cell_angle_beta 90.00
_cell_angle_gamma 90.00
_symmetry_space_group_name_H-M 'P 4/m m m'
_symmetry_Int_Tables_number 123
_symmetry_space_group_name_Hall '-P 4 2'
loop_
_atom_site_label
_atom_site_type_symbol
_atom_site_fract_x
_atom_site_fract_y
_atom_site_fract_z
Cr1 Cr 0.000 0.500 0.000
Ir1 Ir 0.000 0.000 0.500
Rh1 Rh 0.500 0.500 0.500

---

No. 3
# TlGeAsOs2 PBE relaxed
# ρ: 10644 kg/m3
# E: -5.351 eV/atom
# volume: 22.85 Å³ per atom
# DFT formation energy: 33.8 kcal/mol of atoms
data_TlGeAsOs2
_cell_length_a 4.592
_cell_length_b 4.592
_cell_length_c 5.418
_cell_angle_alpha 90.00
_cell_angle_beta 90.00
_cell_angle_gamma 90.00
_symmetry_space_group_name_H-M 'P 4/m m m'
_symmetry_Int_Tables_number 123
_symmetry_space_group_name_Hall '-P 4 2'
loop_
_atom_site_label
_atom_site_type_symbol
_atom_site_fract_x
_atom_site_fract_y
_atom_site_fract_z
Tl1 Tl 0.000 0.000 0.000
Ge1 Ge 0.500 0.500 0.000
As1 As 0.000 0.000 0.500
Os1 Os 0.000 0.500 0.500

---

No. 4
# MnTc2Te PBE relaxed
# formation energy (no corrections): 0.4675 eV per atom
# ρ: 9487 kg/m3
# E: -7.793 eV/atom
# volume: 16.57 Å³ per atom
data_MnTc2Te
_cell_length_a 2.9951
_cell_length_b 2.9951
_cell_length_c 25.5876
_cell_angle_alpha 90.00
_cell_angle_beta 90.00
_cell_angle_gamma 120.00
_symmetry_space_group_name_H-M 'R 3 m'
_symmetry_Int_Tables_number 160
_symmetry_space_group_name_Hall 'R 3 -2"'
loop_
_atom_site_label
_atom_site_type_symbol
_atom_site_fract_x
_atom_site_fract_y
_atom_site_fract_z
Mn1 Mn 0.0000 0.0000 0.0000
Tc1 Tc 0.0000 0.0000 0.4900
Tc2 Tc 0.0000 0.0000 0.7441
Te1 Te 0.0000 0.0000 0.2458

---

No. 5
# RuAu2O4 PBE relaxed
# formation energy (no corrections): 0.0696 eV per atom
# ρ: 9807 kg/m3
# E: -5.025 eV/atom
# volume: 13.52 Å³ per atom
data_RuAu2O4
_cell_length_a 4.234
_cell_length_b 4.234
_cell_length_c 10.562
_cell_angle_alpha 90.00
_cell_angle_beta 90.00
_cell_angle_gamma 90.00
_symmetry_space_group_name_H-M 'I 4/m m m'
_symmetry_Int_Tables_number 139
_symmetry_space_group_name_Hall '-I 4 2'
loop_
_atom_site_label
_atom_site_type_symbol
_atom_site_fract_x
_atom_site_fract_y
_atom_site_fract_z
Ru1 Ru 0.000 0.000 0.000
Au1 Au 0.000 0.000 0.364
O1 O 0.000 0.000 0.171
O2 O 0.000 0.500 0.000

---

No. 6
# RbRe2TcMo PBE relaxed
# ρ: 9223 kg/m3
# E: -6.811 eV/atom
# volume: 23.47 Å³ per atom
# DFT formation energy: 60.0 kcal/mol of atoms
data_RbRe2TcMo
_cell_length_a 4.749
_cell_length_b 4.749
_cell_length_c 5.203
_cell_angle_alpha 90.00
_cell_angle_beta 90.00
_cell_angle_gamma 90.00
_symmetry_space_group_name_H-M 'P 4/m m m'
_symmetry_Int_Tables_number 123
_symmetry_space_group_name_Hall '-P 4 2'
loop_
_atom_site_label
_atom_site_type_symbol
_atom_site_fract_x
_atom_site_fract_y
_atom_site_fract_z
Rb1 Rb 0.000 0.000 0.000
Re1 Re 0.000 0.500 0.500
Tc1 Tc 0.000 0.000 0.500
Mo1 Mo 0.500 0.500 0.000

---

No. 7
# PmNdTm2Th PBE relaxed
# ρ: 8708 kg/m3
# E: -5.136 eV/atom
# volume: 32.77 Å³ per atom
# DFT formation energy: 0.9 kcal/mol of atoms
data_PmNdTm2Th
_cell_length_a 6.247
_cell_length_b 5.781
_cell_length_c 9.591
_cell_angle_alpha 90.00
_cell_angle_beta 108.92
_cell_angle_gamma 90.00
_symmetry_space_group_name_H-M 'P 1 21/m 1'
_symmetry_Int_Tables_number 11
loop_
_symmetry_equiv_pos_as_xyz
'x,y,z'
'-x,-y,-z'
'-x,y+1/2,-z'
'x,-y+1/2,z'
loop_
_atom_site_label
_atom_site_type_symbol
_atom_site_fract_x
_atom_site_fract_y
_atom_site_fract_z
Pm1 Pm 0.225 0.250 0.297
Nd1 Nd 0.425 0.250 0.703
Tm1 Tm 0.043 0.250 0.902
Tm2 Tm 0.169 0.750 0.506
Th1 Th 0.369 0.750 0.909

---

No. 8
# BeRuW2 PBE relaxed
# ρ: 14503 kg/m3
# energy above the lowest structure with this stoichiometry: 0.000 eV per atom
# E: -9.697 eV/atom
# volume: 13.68 Å³ per atom
# DFT formation energy: 0.7 kcal/mol of atoms
data_BeRuW2
_cell_length_a 2.816
_cell_length_b 2.816
_cell_length_c 6.900
_cell_angle_alpha 90.00
_cell_angle_beta 90.00
_cell_angle_gamma 90.00
_symmetry_space_group_name_H-M 'P 4 m m'
_symmetry_Int_Tables_number 99
loop_
_symmetry_equiv_pos_as_xyz
'x,y,z'
'-y,x,z'
'-x,-y,z'
'y,-x,z'
'-x,y,z'
'y,x,z'
'x,-y,z'
'-y,-x,z'
loop_
_atom_site_label
_atom_site_type_symbol
_atom_site_fract_x
_atom_site_fract_y
_atom_site_fract_z
Be1 Be 0.000 0.000 0.000
Ru1 Ru 0.500 0.500 0.185
W1 W 0.000 0.000 0.441
W2 W 0.500 0.500 0.761

---

Which formula does entry 7 have? PmNdTm2Th

---

Which value of E does entry 3 give? -5.351 eV/atom

---

ρ of number 7 (PmNdTm2Th)? 8708 kg/m3

---

ρ of number 1 (Ta3Ru8)? 12872 kg/m3